1.
The following is a GGA-PBE calculation of Ti3SbPt after structural relaxation, from the Alexandria database.

Computed properties:
- energy relative to the lowest polymorph listed for this composition (eV per atom) = 0.000
- density of states at the Fermi level (states/eV per cell) = 7.99

Cell and atoms, written as POSCAR:
```
Ti3SbPt
1.0
-2.602 3.683 -1.666
-2.494 -3.022 -2.786
-3.182 -0.643 3.547
Sb Pt Ti
1 1 3
Direct
0.500 0.500 0.500
0.000 0.000 0.000
0.000 0.500 0.000
0.000 0.000 0.500
0.500 0.000 0.000
```


2.
The following is a GGA-PBE calculation of Ti2SbPt after structural relaxation, from the Alexandria database.

Computed properties:
- density of states at the Fermi level (states/eV per cell) = 3.80

Cell and atoms, written as POSCAR:
```
Ti2SbPt
1.0
-2.754 -1.761 2.614
2.191 -3.410 0.010
2.126 1.375 3.166
Sb Pt Ti
1 1 2
Direct
0.500 0.500 0.500
0.500 0.000 0.000
0.000 0.000 0.500
0.000 0.500 0.000
```


3.
The following is a GGA-PBE calculation of Ti2SbPt9 after structural relaxation, from the Alexandria database.

Computed properties:
- density of states at the Fermi level (states/eV per cell) = 7.55

Cell and atoms, written as POSCAR:
```
Ti2SbPt9
1.0
-1.676 2.254 2.824
-3.286 0.343 -2.224
-4.559 -9.917 5.210
Ti Sb Pt
2 1 9
Direct
0.000 0.000 0.337
0.000 0.000 0.663
0.000 0.000 0.000
0.500 0.500 0.000
0.500 0.500 0.339
0.500 0.500 0.661
0.500 0.000 0.180
0.500 0.000 0.500
0.500 0.000 0.820
0.000 0.500 0.180
0.000 0.500 0.500
0.000 0.500 0.820
```


4.
The following is a GGA-PBE calculation of Ti2Sb2Pt after structural relaxation, from the Alexandria database.

Computed properties:
- energy relative to the lowest polymorph listed for this composition (eV per atom) = 0.000
- density of states at the Fermi level (states/eV per cell) = 6.60

Cell and atoms, written as POSCAR:
```
Ti2Sb2Pt
1.0
-3.104 0.367 -6.298
3.603 -5.658 -2.106
-2.940 -2.361 1.311
Sb Pt Ti
4 2 4
Direct
0.162 0.662 0.500
0.662 0.838 0.500
0.838 0.338 0.500
0.338 0.162 0.500
0.000 0.000 0.000
0.500 0.500 0.000
0.354 0.854 0.000
0.854 0.646 0.000
0.646 0.146 0.000
0.146 0.354 0.000
```


5.
The following is a GGA-PBE calculation of Ti2Sb2Pt after structural relaxation, from the Alexandria database.

Computed properties:
- energy relative to the lowest polymorph listed for this composition (eV per atom) = 0.031
- density of states at the Fermi level (states/eV per cell) = 5.00

Cell and atoms, written as POSCAR:
```
Ti2Sb2Pt
1.0
7.263 0.000 0.000
0.000 7.263 0.000
0.000 0.000 3.741
Sb Pt Ti
4 2 4
Direct
0.341 0.841 0.000
0.841 0.659 0.000
0.659 0.159 0.000
0.159 0.341 0.000
0.000 0.000 0.000
0.500 0.500 0.000
0.140 0.640 0.500
0.640 0.860 0.500
0.860 0.360 0.500
0.360 0.140 0.500
```


6.
The following is a GGA-PBE calculation of Ti12Sb6Pt after structural relaxation, from the Alexandria database.

Computed properties:
- density of states at the Fermi level (states/eV per cell) = 22.66

Cell and atoms, written as POSCAR:
```
Ti12Sb6Pt
1.0
-5.394 5.334 -0.172
-4.336 -5.941 -1.865
0.138 -1.114 7.504
Ti Sb Pt
12 6 1
Direct
0.827 0.512 0.369
0.369 0.827 0.512
0.512 0.369 0.827
0.173 0.488 0.631
0.631 0.173 0.488
0.488 0.631 0.173
0.032 0.888 0.305
0.112 0.695 0.968
0.695 0.968 0.112
0.968 0.112 0.695
0.888 0.305 0.032
0.305 0.032 0.888
0.724 0.837 0.463
0.537 0.276 0.163
0.163 0.537 0.276
0.276 0.163 0.537
0.463 0.724 0.837
0.837 0.463 0.724
0.000 0.000 0.000
```


7.
The following is a GGA-PBE calculation of Ti4SbPt after structural relaxation, from the Alexandria database.

Computed properties:
- density of states at the Fermi level (states/eV per cell) = 11.27

Cell and atoms, written as POSCAR:
```
Ti4SbPt
1.0
4.967 0.000 0.000
-0.001 6.753 0.575
-2.484 -2.097 6.626
Ti Sb Pt
8 2 2
Direct
0.554 0.067 0.855
0.698 0.433 0.145
0.446 0.933 0.145
0.302 0.567 0.855
0.993 0.880 0.659
0.334 0.620 0.341
0.007 0.120 0.341
0.666 0.380 0.659
0.876 0.750 0.000
0.124 0.250 0.000
0.500 0.000 0.500
0.000 0.500 0.500
```


8.
The following is a GGA-PBE calculation of TiSbPt6 after structural relaxation, from the Alexandria database.

Computed properties:
- density of states at the Fermi level (states/eV per cell) = 6.38

Cell and atoms, written as POSCAR:
```
TiSbPt6
1.0
3.996 0.000 0.000
0.000 3.996 0.000
0.000 0.000 8.148
Ti Sb Pt
1 1 6
Direct
0.000 0.000 0.500
0.000 0.000 0.000
0.500 0.500 0.000
0.500 0.500 0.500
0.500 0.000 0.265
0.500 0.000 0.735
0.000 0.500 0.265
0.000 0.500 0.735
```


9.
The following is a GGA-PBE calculation of TiSbPt3 after structural relaxation, from the Alexandria database.

Computed properties:
- energy relative to the lowest polymorph listed for this composition (eV per atom) = 0.349
- density of states at the Fermi level (states/eV per cell) = 9.97

Cell and atoms, written as POSCAR:
```
TiSbPt3
1.0
-3.768 -2.412 -1.983
-0.931 -2.097 4.322
-2.980 3.705 1.156
Sb Pt Ti
1 3 1
Direct
0.000 0.000 0.000
0.000 0.500 0.000
0.000 0.000 0.500
0.500 0.000 0.000
0.500 0.500 0.500
```


10.
The following is a GGA-PBE calculation of TiSbPt after structural relaxation, from the Alexandria database.

Computed properties:
- density of states at the Fermi level (states/eV per cell) = 3.50

Cell and atoms, written as POSCAR:
```
TiSbPt
1.0
3.702 0.000 0.000
0.000 3.702 0.000
-1.851 -1.851 4.091
Sb Pt Ti
1 1 1
Direct
0.617 0.617 0.235
0.948 0.948 0.896
0.285 0.285 0.569
```


11.
The following is a GGA-PBE calculation of TiSb3Pt12 after structural relaxation, from the Alexandria database.

Computed properties:
- density of states at the Fermi level (states/eV per cell) = 12.08

Cell and atoms, written as POSCAR:
```
TiSb3Pt12
1.0
-3.591 1.676 -0.534
-0.986 -0.911 3.767
6.118 14.755 5.170
Ti Sb Pt
1 3 12
Direct
0.000 0.000 0.000
0.000 0.000 0.251
0.000 0.000 0.500
0.000 0.000 0.749
0.500 0.500 0.000
0.500 0.500 0.235
0.500 0.500 0.500
0.500 0.500 0.765
0.500 0.000 0.113
0.500 0.000 0.370
0.500 0.000 0.630
0.500 0.000 0.887
0.000 0.500 0.113
0.000 0.500 0.370
0.000 0.500 0.630
0.000 0.500 0.887
```


no.,formation energy (no corrections) (eV/atom)
1,0.048
2,-0.610
3,-0.638
4,-0.302
5,-0.272
6,-0.087
7,-0.282
8,-0.519
9,0.743
10,-0.389
11,-0.330